CdPdF4: relaxed, PBE-GGA.

Cell lengths 5.581, 5.581, 6.637 Å; angles 114.86, 114.86, 90.00 degrees
Positions (direct):
Cd: 0.750 0.750 0.500
Cd: 0.250 0.250 0.500
Pd: 0.000 0.500 0.000
Pd: 0.500 0.000 0.000
F: 0.814 0.958 0.272
F: 0.542 0.686 0.728
F: 0.186 0.042 0.728
F: 0.686 0.186 0.728
F: 0.458 0.314 0.272
F: 0.958 0.458 0.272
F: 0.314 0.814 0.272
F: 0.042 0.542 0.728

For the final energy, the calculation gives -23.53 eV per formula unit. The value obtained for the polymorph energy (0 for the lowest one) is 0.000 eV per atom. Its crystal system is tetragonal. The formation energy without anion corrections is -1.66 eV per atom.